# 1
First-principles (PBE) data for crystalline BaGa7Cu5 at its relaxed geometry, as listed in Alexandria via LeMat-Bulk.

Unit cell a=5.1967 b=9.1673 c=9.0514 alpha=90.00 beta=90.00 gamma=90.00
With the nearest neighbours (Å) after each atom.
Space group Imm2 (No. 44)
Inequivalent atoms, fractional coordinates:
Ba: 0.0000 0.0000 0.0000 x2  10 Ga 3.16-3.39, 10 Cu 3.38-3.48
Ga: 0.0000 0.0000 0.3549 x2  5 Ga 2.68-2.82, 4 Cu 2.82
Ga: 0.0000 0.0000 0.6509 x2  3 Ga 2.68-2.92, 6 Cu 2.76-2.79
Ga: 0.0000 0.2770 0.4913 x4  4 Cu 2.58-2.67, 3 Ga 2.82-2.86
Ga: 0.0000 0.3522 0.0113 x4  5 Cu 2.64-2.87, 4 Ga 2.71-2.86
Ga: 0.0000 0.5000 0.7398 x2  4 Cu 2.64, 4 Ga 2.80-2.81
Cu: 0.0000 0.5000 0.2618 x2  4 Cu 2.63, 6 Ga 2.64-2.91
Cu: 0.2481 0.2487 0.7476 x8  7 Ga 2.58-2.87, 3 Cu 2.58-2.63

DOS(E_F)	4.08	states/eV/f.u.
formation energy from the elements	-0.164	eV per atom
total moment	0.000	μB/cell


# 2
First-principles (PBE) data for crystalline Ba2Ga3Cu2 at its relaxed geometry, as listed in Alexandria via LeMat-Bulk.

Unit cell a=12.1617 b=4.2342 c=7.8765 alpha=90.00 beta=125.57 gamma=90.00
With the nearest neighbours (Å) after each atom.
Space group C2/m (No. 12)
Inequivalent atoms, fractional coordinates:
Ba: 0.1354 0.0000 0.2603 x4  4 Cu 3.30-3.57, 6 Ga 3.43-3.67, 1 Ba 3.46
Ga: 0.0000 0.5000 0.5000 x2  4 Cu 2.53, 2 Ga 2.79
Ga: 0.1548 0.5000 0.9354 x4  3 Cu 2.58-2.69, 3 Ga 2.79-2.85
Cu: 0.1192 0.0000 0.6984 x4  5 Ga 2.53-2.69, 1 Cu 2.76

DOS(E_F)	3.30	states/eV/f.u.
formation energy from the elements	-0.256	eV per atom
total moment	0.000	μB/cell